DFT (GGA-PBE) results for a relaxed structure of Ac2PuGe3Ir4.

## Properties
- SG = P-4m2
- final energy (eV/cell) = -78.941
- size of the total moment (μB/f.u.) = 4.91
- calculated volume (Å³/cell) = 209.37
- ρ (g cm⁻³) = 13.4
- ΔH_f (0 K) (eV/atom) = -0.71

a b c (Å): 4.331 4.331 11.162
angles (deg): 90.00 90.00 90.00
Last column: magnetic moment on the atom in μB.
Atoms (fractional coordinates):
Ac (0.000, 0.500, 0.763)  0.03
Ac (0.500, 0.000, 0.237)  0.03
Ir (0.000, 0.000, 0.000)  -0.01
Ge (0.500, 0.000, 0.880)  0.00
Ge (0.000, 0.500, 0.120)  0.00
Ge (0.000, 0.000, 0.500)  -0.06
Pu (0.500, 0.500, 0.500)  4.91
Ir (0.500, 0.000, 0.652)  -0.13
Ir (0.500, 0.500, 0.000)  0.00
Ir (0.000, 0.500, 0.348)  -0.13